# 1
First-principles (PBEsol) data for a relaxed LiPtW2 crystal, as listed in the Alexandria database.

Computed properties:
Calculated volume = 58.4 Å³/cell
Energy above the lowest structure with this stoichiometry = 0.000 eV/atom
Formation energy from the elements = 8.3 kJ per mole of atoms
Space group = Pmm2, No. 25

Geometry as POSCAR:
```
LiPtW2
1.0
2.663 0.000 0.000
0.000 3.928 0.000
0.000 0.000 5.584
W Pt Li
2 1 1
direct
0.500 0.500 0.258
0.000 0.000 0.000
0.500 0.500 0.727
0.000 0.000 0.515
```

# 2
First-principles (PBEsol) data for a relaxed TlCo2Re crystal, as listed in the Alexandria database.

Computed properties:
Calculated volume = 54.9 Å³/cell
Energy above the lowest structure with this stoichiometry = 0.083 eV/atom
Formation energy from the elements = 67.4 kJ per mole of atoms
Space group = I-4m2, No. 119

Geometry as POSCAR:
```
TlCo2Re
1.0
3.714 0.000 0.000
0.000 3.714 0.000
-1.857 -1.857 3.982
Co Re Tl
2 1 1
direct
0.750 0.250 0.500
0.000 0.000 0.000
0.500 0.500 0.000
0.250 0.750 0.500
```

# 3
First-principles (PBEsol) data for a relaxed Cr3Mo13 crystal, as listed in the Alexandria database.

Computed properties:
Calculated volume = 233.0 Å³/cell
Formation energy from the elements = 5.7 kJ per mole of atoms
Space group = Amm2, No. 38

Geometry as POSCAR:
```
Cr3Mo13
1.0
6.152 0.000 0.001
0.000 6.157 0.000
0.022 0.000 6.152
Mo Cr
13 3
direct
0.243 0.000 0.755
0.755 0.000 0.243
0.998 0.752 0.503
0.246 0.000 0.246
0.502 0.248 0.502
0.503 0.752 0.998
0.503 0.248 0.998
0.246 0.500 0.246
0.755 0.500 0.246
0.754 0.500 0.754
0.246 0.500 0.755
0.502 0.752 0.502
0.998 0.248 0.503
0.999 0.752 0.999
0.752 0.000 0.752
0.999 0.248 0.999
```

# 4
First-principles (PBEsol) data for a relaxed CsReS2 crystal, as listed in the Alexandria database.

Computed properties:
Calculated volume = 100.2 Å³/cell
Formation energy from raw total energies = -0.49 eV per formula unit
Space group = R-3m, No. 166

Geometry as POSCAR:
```
CsReS2
1.0
3.611 0.000 0.000
1.806 3.127 0.000
1.806 1.042 8.876
Cs S Re
1 2 1
direct
0.000 0.000 0.000
0.880 0.880 0.360
0.120 0.120 0.640
0.500 0.500 0.500
```

Number 1: Fermi-level density of states 0.5691 states/eV/atom. Number 2: Fermi-level density of states 1.2504 states/eV/atom. Number 3: Fermi-level density of states 0.6948 states/eV/atom. Number 4: Fermi-level density of states 0.6192 states/eV/atom.